Version 1
Material: TlRuPb2
Method: DFT, PBE-GGA
State: relaxed

Cell and atoms, written as POSCAR:
```
TlRuPb2
1.0
10.3385 -0.0503 -0.0295
9.7869 3.3322 -0.0295
9.7869 1.5960 2.9252
Pb Tl Ru
2 1 1
Direct
0.9827 0.9827 0.9827
0.5173 0.5173 0.5173
0.7500 0.7500 0.7500
0.2500 0.2500 0.2500
```

Computed properties:
* N(E_F): 3.02 states/eV per cell
* theoretical density: 11.58 g cm⁻³
* space group: No. 166

=====

Version 2
Material: TlRuPb2
Method: DFT, PBE-GGA
State: relaxed

Cell and atoms, written as POSCAR:
```
TlRuPb2
1.0
-4.1735 -1.4586 -2.6549
-3.9962 -2.1466 2.4529
-4.4193 2.6095 0.5049
Pb Ru Tl
2 1 1
Direct
0.0000 0.0000 0.0000
0.2500 0.2500 0.2500
0.5000 0.5000 0.5000
0.7500 0.7500 0.7500
```

Computed properties:
* N(E_F): 4.69 states/eV per cell
* theoretical density: 12.33 g cm⁻³
* space group: No. 216

=====

Version 3
Material: TlRuPb2
Method: DFT, PBE-GGA
State: relaxed

Cell and atoms, written as POSCAR:
```
TlRuPb2
1.0
-0.0864 3.1114 -1.2069
-3.3372 -0.0736 0.0492
0.0510 3.1955 8.2346
Pb Ru Tl
2 1 1
Direct
0.5000 0.5000 0.3127
0.0000 0.0000 0.9914
0.0000 0.0000 0.5017
0.5000 0.5000 0.6942
```

Computed properties:
* N(E_F): 1.63 states/eV per cell
* theoretical density: 12.14 g cm⁻³
* space group: No. 99

=====

Version 4
Material: TlRuPb2
Method: DFT, PBE-GGA
State: relaxed

Cell and atoms, written as POSCAR:
```
TlRuPb2
1.0
-0.8960 2.9772 1.2806
-0.3559 -1.4266 3.0240
8.5075 1.7704 1.8366
Pb Ru Tl
2 1 1
Direct
0.0000 0.0000 0.4414
0.0000 0.0000 0.0586
0.5000 0.5000 0.2500
0.5000 0.5000 0.7500
```

Computed properties:
* N(E_F): 2.06 states/eV per cell
* theoretical density: 11.90 g cm⁻³
* space group: No. 65

=====

We find version 4 to be the most stable, with the next structure 72 meV/atom higher.

=====

Version 1
Material: TlRuPb2
Method: DFT, PBE-GGA
State: relaxed

Cell and atoms, written as POSCAR:
```
TlRuPb2
1.0
-0.4436 -3.2339 -4.5248
1.2184 -5.2421 1.4713
-3.5367 3.7005 2.2197
Pb Ru Tl
2 1 1
Direct
0.2500 0.7500 0.5000
0.0000 0.0000 0.0000
0.5000 0.5000 0.0000
0.7500 0.2500 0.5000
```

Computed properties:
* N(E_F): 4.70 states/eV per cell
* theoretical density: 12.37 g cm⁻³
* space group: No. 119

=====

Version 2
Material: TlRuPb2
Method: DFT, PBE-GGA
State: relaxed

Cell and atoms, written as POSCAR:
```
TlRuPb2
1.0
5.7581 0.0000 0.0000
0.0000 5.7581 0.0000
2.8791 2.8791 8.1812
Pb Tl Ru
4 2 2
Direct
0.5193 0.1250 0.2500
0.2307 0.6250 0.2500
0.8750 0.7693 0.7500
0.3750 0.4807 0.7500
0.7500 0.2500 0.5000
0.0000 0.0000 0.0000
0.2500 0.7500 0.5000
0.5000 0.5000 0.0000
```

Computed properties:
* N(E_F): 6.12 states/eV per cell
* theoretical density: 8.81 g cm⁻³
* space group: No. 122

=====

We find version 1 to be the most stable, with the next structure 25 meV/atom higher.

=====

Version 1
Material: TlRuPb
Method: DFT, PBE-GGA
State: relaxed

Cell and atoms, written as POSCAR:
```
TlRuPb
1.0
-2.2480 3.1000 -5.8124
-0.2236 0.7882 -6.9117
-2.5606 -1.8152 -0.8944
Tl Pb Ru
1 1 1
Direct
0.6997 0.6997 0.3003
0.9676 0.9676 0.0324
0.3327 0.3327 0.6673
```

Computed properties:
* N(E_F): 2.82 states/eV per cell
* theoretical density: 12.17 g cm⁻³
* space group: No. 107

=====

Version 2
Material: TlRuPb
Method: DFT, PBE-GGA
State: relaxed

Cell and atoms, written as POSCAR:
```
TlRuPb
1.0
4.6777 0.0000 0.0000
2.3388 4.0510 0.0000
2.3388 1.3503 3.8193
Pb Tl Ru
1 1 1
Direct
0.5000 0.5000 0.5000
0.0000 0.0000 0.0000
0.2500 0.2500 0.2500
```

Computed properties:
* N(E_F): 1.93 states/eV per cell
* theoretical density: 11.76 g cm⁻³
* space group: No. 216

=====

Version 3
Material: TlRuPb
Method: DFT, PBE-GGA
State: relaxed

Cell and atoms, written as POSCAR:
```
TlRuPb
1.0
3.3614 0.0000 0.0000
-1.6807 2.9111 0.0000
0.0000 0.0000 7.0624
Pb Tl Ru
1 1 1
Direct
0.0000 0.0000 0.0451
0.3333 0.6667 0.6251
0.6667 0.3333 0.3298
```

Computed properties:
* N(E_F): 2.44 states/eV per cell
* theoretical density: 12.32 g cm⁻³
* space group: No. 156

=====

Version 4
Material: TlRuPb
Method: DFT, PBE-GGA
State: relaxed

Cell and atoms, written as POSCAR:
```
TlRuPb
1.0
4.7126 0.0000 0.0000
-2.3563 4.0812 0.0000
0.0000 0.0000 3.5959
Pb Tl Ru
1 1 1
Direct
0.0000 0.0000 0.0991
0.6667 0.3333 0.6010
0.3333 0.6667 0.2999
```

Computed properties:
* N(E_F): 1.81 states/eV per cell
* theoretical density: 12.31 g cm⁻³
* space group: No. 156

=====

We find version 1 to be the most stable, with the next structure 10 meV/atom higher.

=====

Version 1
Material: Tm4Ru2Pb
Method: DFT, PBE-GGA
State: relaxed

Cell and atoms, written as POSCAR:
```
Tm4Ru2Pb
1.0
5.0250 -0.0022 0.0000
-2.5134 4.3512 0.0000
0.0000 0.0000 14.8955
Ru Tm Pb
4 8 2
Direct
0.1664 0.8336 0.0610
0.1664 0.8336 0.4390
0.8336 0.1664 0.5610
0.8336 0.1664 0.9390
0.5000 0.5000 0.0000
0.1671 0.8329 0.6196
0.8340 0.1660 0.7500
0.1671 0.8329 0.8804
0.1660 0.8340 0.2500
0.8329 0.1671 0.1196
0.8329 0.1671 0.3804
0.5000 0.5000 0.5000
0.5007 0.4993 0.7500
0.4993 0.5007 0.2500
```

Computed properties:
* N(E_F): 10.08 states/eV per cell
* theoretical density: 11.07 g cm⁻³
* space group: No. 63

=====

Version 2
Material: Tm4Ru2Pb
Method: DFT, PBE-GGA
State: relaxed

Cell and atoms, written as POSCAR:
```
Tm4Ru2Pb
1.0
8.1392 -1.5261 0.7384
-2.2051 7.4217 1.0902
-2.0633 -2.2658 5.1712
Ru Tm Pb
4 8 2
Direct
0.1369 0.3861 0.8410
0.5726 0.8437 0.3905
0.6324 0.3823 0.6042
0.6375 0.3812 0.1195
0.4106 0.0295 0.2041
0.6882 0.1053 0.8122
0.5737 0.6646 0.9229
0.8371 0.7384 0.5043
0.3003 0.1770 0.7142
0.3538 0.4466 0.2994
0.8816 0.2595 0.4105
0.9662 0.5828 0.0017
0.0119 0.0234 0.0542
0.2474 0.7297 0.6213
```

Computed properties:
* N(E_F): 8.39 states/eV per cell
* theoretical density: 10.81 g cm⁻³
* space group: No. 1

=====

We find version 2 to be the most stable, with the next structure 87 meV/atom higher.

=====

Version 1
Material: Tm7Ru2Pb2
Method: DFT, PBE-GGA
State: relaxed

Cell and atoms, written as POSCAR:
```
Tm7Ru2Pb2
1.0
-1.8770 0.4658 -3.1245
3.3336 -7.4042 -5.2673
-4.9773 -8.2910 -0.4068
Tm Ru Pb
7 2 2
Direct
0.3671 0.7272 0.5386
0.8451 0.4106 0.8992
0.1832 0.7167 0.9169
0.8168 0.0831 0.2833
0.5000 0.0375 0.9625
0.1549 0.1008 0.5894
0.6329 0.4614 0.2728
0.7419 0.8540 0.6622
0.2581 0.3378 0.1460
0.0000 0.7680 0.2320
0.5000 0.3569 0.6431
```

Computed properties:
* N(E_F): 8.63 states/eV per cell
* theoretical density: 10.28 g cm⁻³
* space group: No. 44

=====

Version 2
Material: Tm7Ru2Pb2
Method: DFT, PBE-GGA
State: relaxed

Cell and atoms, written as POSCAR:
```
Tm7Ru2Pb2
1.0
6.6669 -0.0027 -0.6792
0.0033 7.2374 0.0032
-1.0933 -0.0024 6.6116
Tm Pb Ru
7 2 2
Direct
0.5000 0.7601 0.0000
0.0000 0.2399 0.5000
0.5000 0.2246 0.5000
0.0000 0.0000 0.0000
0.5000 0.7754 0.5000
0.0000 0.7601 0.5000
0.5000 0.2399 0.0000
0.8082 0.5000 0.8082
0.1918 0.5000 0.1918
0.2863 0.0000 0.7137
0.7137 0.0000 0.2863
```

Computed properties:
* N(E_F): 8.58 states/eV per cell
* theoretical density: 9.52 g cm⁻³
* space group: No. 65

=====

We find version 1 to be the most stable, with the next structure 116 meV/atom higher.

=====

Version 1
Material: YTmRuPb
Method: DFT, PBE-GGA
State: relaxed

Cell and atoms, written as POSCAR:
```
YTmRuPb
1.0
3.4144 0.0000 0.0000
0.0000 3.4144 0.0000
0.0000 0.0000 8.2134
Y Ru Tm Pb
1 1 1 1
Direct
0.5000 0.5000 0.7734
0.0000 0.0000 0.5649
0.5000 0.5000 0.3708
0.0000 0.0000 0.0756
```

Computed properties:
* N(E_F): 1.46 states/eV per cell
* theoretical density: 9.82 g cm⁻³
* space group: No. 99

=====

Version 2
Material: YTmRuPb
Method: DFT, PBE-GGA
State: relaxed

Cell and atoms, written as POSCAR:
```
YTmRuPb
1.0
5.0900 0.0000 0.0000
2.5450 4.4081 0.0000
2.5450 1.4694 4.1560
Pb Ru Y Tm
1 1 1 1
Direct
0.7500 0.7500 0.7500
0.2500 0.2500 0.2500
0.0000 0.0000 0.0000
0.5000 0.5000 0.5000
```

Computed properties:
* N(E_F): 2.18 states/eV per cell
* theoretical density: 10.08 g cm⁻³
* space group: No. 216

=====

We find version 1 to be the most stable, with the next structure 201 meV/atom higher.